Entry 1:
The following is a PBEsol calculation of HfSiTe after structural relaxation, from Alexandria.

Cell: 3.645 3.645 9.397 Å, 90.00 90.00 90.00°
Sites, in units of the cell vectors:
Hf 0.250 0.250 0.222
Hf 0.750 0.750 0.778
Si 0.250 0.750 0.000
Si 0.750 0.250 0.000
Te 0.250 0.250 0.640
Te 0.750 0.750 0.360

- spin magnetization (μB per formula unit) = 0.00
- formation energy (no corrections) (eV per atom) = -0.7738
- energy (eV/atom) = -7.37

Entry 2:
The following is a PBEsol calculation of Ca2AuSe after structural relaxation, from Alexandria.

Cell: 7.559 7.559 7.559 Å, 151.06 150.11 42.08°
Sites, in units of the cell vectors:
Ca 0.000 0.000 0.000
Ca 0.745 0.245 0.500
Au 0.336 0.836 0.500
Se 0.583 0.583 0.000

- spin magnetization (μB per formula unit) = 0.00
- formation energy (no corrections) (eV per atom) = -1.1575
- energy (eV/atom) = -4.17

Entry 3:
The following is a PBEsol calculation of SrPd5 after structural relaxation, from Alexandria.

Cell: 5.358 5.358 4.346 Å, 90.00 90.00 120.00°
Sites, in units of the cell vectors:
Sr 0.000 0.000 0.000
Pd 0.000 0.500 0.500
Pd 0.333 0.667 0.000
Pd 0.500 0.000 0.500
Pd 0.500 0.500 0.500
Pd 0.667 0.333 0.000

- spin magnetization (μB per formula unit) = 0.00
- energy (eV/atom) = -5.61

Entry 4:
The following is a PBEsol calculation of SrAl3Sn after structural relaxation, from Alexandria.

Cell: 5.285 5.285 5.285 Å, 90.00 90.00 90.00°
Sites, in units of the cell vectors:
Sr 0.000 0.000 0.000
Al 0.000 0.500 0.500
Al 0.500 0.000 0.500
Al 0.500 0.500 0.000
Sn 0.500 0.500 0.500

- spin magnetization (μB per formula unit) = 0.00
- energy (eV/atom) = -3.21

> energy of number 4 (SrAl3Sn)?

-3.21 eV/atom

Please write out number 4 again, unchanged.
The following is a PBEsol calculation of SrAl3Sn after structural relaxation, from Alexandria.

Cell: 5.285 5.285 5.285 Å, 90.00 90.00 90.00°
Sites, in units of the cell vectors:
Sr 0.000 0.000 0.000
Al 0.000 0.500 0.500
Al 0.500 0.000 0.500
Al 0.500 0.500 0.000
Sn 0.500 0.500 0.500

- spin magnetization (μB per formula unit) = 0.00
- energy (eV/atom) = -3.21

> What is the formula in the second record?

Ca2AuSe